# AgTePbO (PBE-GGA, optimized geometry)
data_AgTePbO
_cell_length_a 4.041
_cell_length_b 4.041
_cell_length_c 12.839
_cell_angle_alpha 90.00
_cell_angle_beta 90.00
_cell_angle_gamma 90.00
_symmetry_space_group_name_H-M 'P 4/n m m'
_symmetry_Int_Tables_number 129
loop_
_symmetry_equiv_pos_as_xyz
'x,y,z'
'-x,-y,-z'
'-y+1/2,x,z'
'y+1/2,-x,-z'
'-x+1/2,-y+1/2,z'
'x+1/2,y+1/2,-z'
'y,-x+1/2,z'
'-y,x+1/2,-z'
'x+1/2,-y,-z'
'-x+1/2,y,z'
'-y,-x,-z'
'y,x,z'
'-x,y+1/2,-z'
'x,-y+1/2,z'
'y+1/2,x+1/2,-z'
'-y+1/2,-x+1/2,z'
loop_
_atom_site_label
_atom_site_type_symbol
_atom_site_fract_x
_atom_site_fract_y
_atom_site_fract_z
Ag1 Ag 0.250 0.250 0.102
Te1 Te 0.250 0.250 0.876
Pb1 Pb 0.250 0.250 0.593
O1 O 0.250 0.750 0.500
# Crystal system: tetragonal
# Calculated density in g cm⁻³: 7.3
# Relative energy among the computed polymorphs in kJ/mol of formula units: 0

***

# AgTePbO (PBE-GGA, optimized geometry)
data_AgTePbO
_cell_length_a 3.768
_cell_length_b 3.768
_cell_length_c 12.770
_cell_angle_alpha 90.00
_cell_angle_beta 90.00
_cell_angle_gamma 90.00
_symmetry_space_group_name_H-M 'P 4/n m m'
_symmetry_Int_Tables_number 129
loop_
_symmetry_equiv_pos_as_xyz
'x,y,z'
'-x,-y,-z'
'-y+1/2,x,z'
'y+1/2,-x,-z'
'-x+1/2,-y+1/2,z'
'x+1/2,y+1/2,-z'
'y,-x+1/2,z'
'-y,x+1/2,-z'
'x+1/2,-y,-z'
'-x+1/2,y,z'
'-y,-x,-z'
'y,x,z'
'-x,y+1/2,-z'
'x,-y+1/2,z'
'y+1/2,x+1/2,-z'
'-y+1/2,-x+1/2,z'
loop_
_atom_site_label
_atom_site_type_symbol
_atom_site_fract_x
_atom_site_fract_y
_atom_site_fract_z
Ag1 Ag 0.250 0.750 0.000
Te1 Te 0.250 0.250 0.172
Pb1 Pb 0.250 0.250 0.603
O1 O 0.250 0.250 0.429
# Crystal system: tetragonal
# Calculated density in g cm⁻³: 8.4
# Relative energy among the computed polymorphs in kJ/mol of formula units: 33